# 1
{"formula": "Cs6HgI", "functional": "PBE", "state": "relaxed", "e_tot_ev_per_atom": -1.27, "volume_a3_per_atom": 87.81, "sg": "C2/m, No. 12", "m_tot_mub_per_cell": 0.02, "e_form_raw_ev_per_atom": -0.3968, "crystal_system": "monoclinic", "cell": [[-0.6277, 9.0230, 0.1094], [-8.7958, -0.6474, 3.4478], [-1.4117, -0.2181, 9.3611]], "species": ["Cs", "Cs", "Cs", "Cs", "Cs", "Cs", "Hg", "I"], "fractional_positions": [[0.7497, 0.6850, 0.3566], [0.2503, 0.3566, 0.6850], [0.2509, 0.0208, 0.3563], [0.2510, 0.6852, 0.0208], [0.7490, 0.0208, 0.6852], [0.7491, 0.3563, 0.0208], [0.0000, 0.0207, 0.0207], [0.5000, 0.0207, 0.0207]]}

# 2
{"formula": "CsHg2I", "functional": "PBE", "state": "relaxed", "e_tot_ev_per_atom": -1.38, "volume_a3_per_atom": 44.42, "relative_energy_mev_per_atom": 107, "sg": "Fm-3m, No. 225", "m_tot_mub_per_cell": 0.00, "e_form_raw_ev_per_atom": -0.6232, "crystal_system": "cubic", "cell": [[0.0000, 4.4620, 4.4620], [4.4620, 0.0000, 4.4620], [4.4620, 4.4620, 0.0000]], "species": ["Cs", "I", "Hg", "Hg"], "fractional_positions": [[0.5000, 0.5000, 0.5000], [0.0000, 0.0000, 0.0000], [0.2500, 0.2500, 0.2500], [0.7500, 0.7500, 0.7500]]}

# 3
{"formula": "CsHg2I", "functional": "PBE", "state": "relaxed", "e_tot_ev_per_atom": -1.36, "volume_a3_per_atom": 50.08, "relative_energy_mev_per_atom": 120, "sg": "I-42d, No. 122", "m_tot_mub_per_cell": 0.00, "e_form_raw_ev_per_atom": -0.6104, "crystal_system": "tetragonal", "cell": [[-2.3280, -9.3865, -3.9443], [5.2079, -4.5746, 7.8124], [-1.6368, -7.0598, 3.9387]], "species": ["Cs", "Cs", "I", "I", "Hg", "Hg", "Hg", "Hg"], "fractional_positions": [[0.0000, 0.0000, 0.0000], [0.7500, 0.2500, 0.5000], [0.5000, 0.5000, 0.0000], [0.2500, 0.7500, 0.5000], [0.6047, 0.1250, 0.2500], [0.1453, 0.6250, 0.2500], [0.3750, 0.3953, 0.7500], [0.8750, 0.8547, 0.7500]]}